Record 1
Below is a geometry-optimized DyReN2 structure, with properties calculated at the PBE-GGA level.

The structure belongs to space group R-3m (No. 166, hexagonal axes); the cell edges are 3.1515, 3.1515 and 19.9415 Å and the angles 90.00°, 90.00° and 120.00°. The distinct sites, in fractional coordinates, are Dy at (0.0000, 0.0000, 0.0000), Re at (0.0000, 0.0000, 0.5000) and N at (0.0000, 0.0000, 0.1137).

The value obtained for the formation energy from raw total energies is 0.12 eV per atom.



Record 2
Below is a geometry-optimized Na12Cd2Ag structure, with properties calculated at the PBE-GGA level.

The structure belongs to space group P4/nbm (No. 125, origin choice 2); the cell edges are 6.6853, 6.6853 and 24.2057 Å and the angles 90.00°, 90.00° and 90.00°. The distinct sites, in fractional coordinates, are Na at (0.0000, 0.0000, 0.0789), Na at (0.0693, 0.5693, 0.4329), Na at (0.2500, 0.2500, 0.1878), Na at (0.2500, 0.2500, 0.3190), Cd at (0.2500, 0.7500, 0.1887) and Ag at (0.2500, 0.7500, 0.0000).

For the formation energy, the calculation gives 0.097 eV per atom.



Record 3
Below is a geometry-optimized MgRe4Ni structure, with properties calculated at the PBE-GGA level.

The structure belongs to space group F-43m (No. 216); the cell edges are 7.3241, 7.3241 and 7.3241 Å and the angles 90.00°, 90.00° and 90.00°. The distinct sites, in fractional coordinates, are Mg at (0.0000, 0.0000, 0.0000), Re at (0.1244, 0.1244, 0.3756) and Ni at (0.2500, 0.2500, 0.7500).

For the formation energy, the calculation gives 0.494 eV per atom.



Record 4
Below is a geometry-optimized CdCSe2I structure, with properties calculated at the PBE-GGA level.

The structure belongs to space group P4/mmm (No. 123); the cell edges are 5.2198, 5.2198 and 6.1362 Å and the angles 90.00°, 90.00° and 90.00°. The distinct sites, in fractional coordinates, are Cd at (0.0000, 0.0000, 0.0000), C at (0.5000, 0.5000, 0.5000), Se at (0.0000, 0.5000, 0.0000) and I at (0.0000, 0.0000, 0.5000).

The value obtained for the formation energy from raw total energies is 1.79 eV per atom.



Record 5
Below is a geometry-optimized Ce2YInN5 structure, with properties calculated at the PBE-GGA level.

The structure belongs to space group Cmc2_1 (No. 36); the cell edges are 3.5490, 13.8984 and 11.4151 Å and the angles 90.00°, 90.00° and 90.00°. The distinct sites, in fractional coordinates, are Ce at (0.0000, 0.1280, 0.0000), Ce at (0.0000, 0.1323, 0.4657), Y at (0.0000, 0.2325, 0.7442), In at (0.0000, 0.4933, 0.2382), N at (0.0000, 0.0726, 0.8048), N at (0.0000, 0.2754, 0.0991), N at (0.0000, 0.2848, 0.3998), N at (0.0000, 0.3746, 0.8415) and N at (0.0000, 0.4771, 0.5504).

The value obtained for the formation energy from raw total energies is -0.82 eV per atom.



Record 6
Below is a geometry-optimized FeHg3Mo structure, with properties calculated at the PBE-GGA level.

The structure belongs to space group Pm-3m (No. 221); the cell edges are 4.9771, 4.9771 and 4.9771 Å and the angles 90.00°, 90.00° and 90.00°. The distinct sites, in fractional coordinates, are Fe at (0.0000, 0.0000, 0.0000), Hg at (0.0000, 0.0000, 0.5000) and Mo at (0.5000, 0.5000, 0.5000).

For the formation energy, the calculation gives 1.203 eV per atom.



Record 7
Below is a geometry-optimized K2Cd2IO6 structure, with properties calculated at the PBE-GGA level.

The structure belongs to space group C2/m (No. 12); the cell edges are 5.9541, 9.9847 and 6.6385 Å and the angles 90.00°, 108.80° and 90.00°. The distinct sites, in fractional coordinates, are K at (0.0000, 0.1764, 0.0000), Cd at (0.0000, 0.3366, 0.5000), I at (0.0000, 0.0000, 0.5000), O at (0.2055, 0.1476, 0.6803) and O at (0.2218, 0.0000, 0.3214).

The value obtained for the formation energy from raw total energies is -0.98 eV per atom.



Record 8
Below is a geometry-optimized MgCd2In structure, with properties calculated at the PBE-GGA level.

The structure belongs to space group Pm (No. 6); the cell edges are 3.3511, 5.0385 and 5.5245 Å and the angles 90.00°, 91.78° and 90.00°. The distinct sites, in fractional coordinates, are Mg at (0.0000, 0.0000, 0.0000), Cd at (0.0024, 0.5000, 0.6619), Cd at (0.5023, 0.0000, 0.5058) and In at (0.5029, 0.5000, 0.1582).

For the formation energy, the calculation gives -0.020 eV per atom.



Record 9
Below is a geometry-optimized K2LaPaO6 structure, with properties calculated at the PBE-GGA level.

The structure belongs to space group P2_1/c (No. 14); the cell edges are 6.3115, 6.3081 and 10.9235 Å and the angles 90.00°, 125.24° and 90.00°. The distinct sites, in fractional coordinates, are K at (0.2482, 0.0102, 0.2498), La at (0.5000, 0.0000, 0.0000), Pa at (0.0000, 0.0000, 0.5000), O at (0.1896, 0.2406, 0.9777), O at (0.2373, 0.7129, 0.9784) and O at (0.2777, 0.0061, 0.7366).

The value obtained for the formation energy from raw total energies is -2.53 eV per atom.



Record 10
Below is a geometry-optimized H3PtBr structure, with properties calculated at the PBE-GGA level.

The structure belongs to space group C2/m (No. 12); the cell edges are 11.3399, 5.3978 and 6.7268 Å and the angles 90.00°, 115.08° and 90.00°. The distinct sites, in fractional coordinates, are H at (0.1538, 0.2489, 0.0111), H at (0.1813, 0.5000, 0.7620), Pt at (0.2467, 0.0000, 0.9836) and Br at (0.1340, 0.0000, 0.5520).

For the energy above the most stable polymorph in this dataset, the calculation gives 0.0 kJ per mole of atoms.



Record 11
Below is a geometry-optimized Lu2AlHg structure, with properties calculated at the PBE-GGA level.

The structure belongs to space group P4/mmm (No. 123); the cell edges are 3.5586, 3.5586 and 7.3389 Å and the angles 90.00°, 90.00° and 90.00°. The distinct sites, in fractional coordinates, are Lu at (0.0000, 0.0000, 0.2408), Al at (0.5000, 0.5000, 0.0000) and Hg at (0.5000, 0.5000, 0.5000).

For the energy above the most stable polymorph in this dataset, the calculation gives 0.0 kJ per mole of atoms. For the formation energy, the calculation gives -0.408 eV per atom.



Record 12
Below is a geometry-optimized AcHg4Au4 structure, with properties calculated at the PBE-GGA level.

The structure belongs to space group P4_2/nmc (No. 137, origin choice 2); the cell edges are 6.6503, 6.6503 and 9.7734 Å and the angles 90.00°, 90.00° and 90.00°. The distinct sites, in fractional coordinates, are Ac at (0.2500, 0.7500, 0.2500), Hg at (0.0260, 0.2500, 0.1683) and Au at (0.0247, 0.2500, 0.4663).

For the formation energy, the calculation gives -0.168 eV per atom.



Record 13
Below is a geometry-optimized BaLaGaHg structure, with properties calculated at the PBE-GGA level.

The structure belongs to space group F-43m (No. 216); the cell edges are 7.9918, 7.9918 and 7.9918 Å and the angles 90.00°, 90.00° and 90.00°. The distinct sites, in fractional coordinates, are Ba at (0.0000, 0.0000, 0.0000), La at (0.0000, 0.0000, 0.5000), Ga at (0.2500, 0.2500, 0.7500) and Hg at (0.2500, 0.2500, 0.2500).

For the formation energy, the calculation gives -0.395 eV per atom.



Record 14
Below is a geometry-optimized Hf12Cd5Re3 structure, with properties calculated at the PBE-GGA level.

The structure belongs to space group Ia-3d (No. 230); the cell edges are 16.1713, 16.1713 and 16.1713 Å and the angles 90.00°, 90.00° and 90.00°. The distinct sites, in fractional coordinates, are Hf at (0.0081, 0.0829, 0.6515), Cd at (0.0000, 0.0000, 0.0000), Cd at (0.0000, 0.2500, 0.3750) and Re at (0.0000, 0.2500, 0.1250).

For the formation energy, the calculation gives 0.702 eV per atom.



Record 15
Below is a geometry-optimized Sm3Ho3Th2 structure, with properties calculated at the PBE-GGA level.

The structure belongs to space group Immm (No. 71); the cell edges are 5.0485, 5.0563 and 20.3593 Å and the angles 90.00°, 90.00° and 90.00°. The distinct sites, in fractional coordinates, are Sm at (0.0000, 0.0000, 0.0000), Sm at (0.0000, 0.5000, 0.1279), Ho at (0.0000, 0.0000, 0.5000), Ho at (0.0000, 0.5000, 0.3724) and Th at (0.0000, 0.0000, 0.2497).

For the energy above the most stable polymorph in this dataset, the calculation gives 0.0 kJ per mole of atoms. For the formation energy, the calculation gives 0.029 eV per atom.



Record 16
Below is a geometry-optimized YPa2H8 structure, with properties calculated at the PBE-GGA level.

The structure belongs to space group Immm (No. 71); the cell edges are 3.8742, 4.7347 and 11.7607 Å and the angles 90.00°, 90.00° and 90.00°. The distinct sites, in fractional coordinates, are Y at (0.0000, 0.0000, 0.0000), Pa at (0.0000, 0.0000, 0.3234), H at (0.0000, 0.2371, 0.5000), H at (0.0000, 0.2535, 0.1552) and H at (0.0000, 0.5000, 0.3040).

The total DFT energy (no corrections) is -0.3789 Ry/atom.